! Na4Th3CuSe8 (GGA-PBE, relaxed); values from VASP
&SYSTEM
  ibrav = 0, nat = 16, ntyp = 4
/
ATOMIC_SPECIES
Na 22.99 Na.upf
Th 232.04 Th.upf
Cu 63.55 Cu.upf
Se 78.96 Se.upf
CELL_PARAMETERS angstrom
7.296 -4.151 0.000
7.296 4.151 0.000
-4.866 0.000 7.026
ATOMIC_POSITIONS angstrom
Na 0.000 0.000 0.000
Na 3.648 2.075 0.000
Na 3.648 -2.075 0.000
Na 7.296 0.000 0.000
Th -2.433 0.000 3.513
Th 1.215 2.075 3.513
Th 1.215 -2.075 3.513
Cu 4.864 0.000 3.513
Se -0.018 0.000 5.239
Se 3.677 1.999 5.096
Se 2.419 0.000 1.851
Se 6.050 1.999 1.930
Se 3.677 -1.999 5.096
Se 7.308 0.000 5.175
Se 6.050 -1.999 1.930
Se 9.745 0.000 1.786
! Formation energy (no corrections)   -1.32 eV/atom

***

! NaThCuSe3 (GGA-PBE, relaxed); values from VASP
&SYSTEM
  ibrav = 0, nat = 12, ntyp = 4
/
ATOMIC_SPECIES
Na 22.99 Na.upf
Th 232.04 Th.upf
Cu 63.55 Cu.upf
Se 78.96 Se.upf
CELL_PARAMETERS angstrom
8.510 0.000 0.000
0.000 4.158 0.000
-2.132 0.000 9.071
ATOMIC_POSITIONS angstrom
Na 1.128 1.039 2.290
Na 5.250 3.118 6.781
Th 0.921 3.118 7.476
Th 5.457 1.039 1.595
Cu -0.530 1.039 5.300
Cu 6.908 3.118 3.771
Se -1.063 1.039 7.737
Se 0.780 3.118 4.640
Se 3.358 3.118 1.424
Se 3.019 1.039 7.647
Se 5.598 1.039 4.431
Se 7.441 3.118 1.333
! Formation energy (no corrections)   -1.23 eV/atom

***

! Na3Th3CuSe8 (GGA-PBE, relaxed); values from VASP
&SYSTEM
  ibrav = 0, nat = 15, ntyp = 4
/
ATOMIC_SPECIES
Na 22.99 Na.upf
Th 232.04 Th.upf
Cu 63.55 Cu.upf
Se 78.96 Se.upf
CELL_PARAMETERS angstrom
7.139 -4.349 0.000
7.139 4.349 0.000
-4.747 0.000 6.970
ATOMIC_POSITIONS angstrom
Na 0.000 0.000 0.000
Na 3.570 2.174 0.000
Na 3.570 -2.174 0.000
Th 1.196 2.174 3.485
Th 1.196 -2.174 3.485
Th 4.766 0.000 3.485
Cu -2.374 0.000 3.485
Se -0.301 0.000 4.836
Se 2.344 0.000 1.791
Se 3.504 1.997 5.143
Se 6.027 1.997 1.827
Se 3.504 -1.997 5.143
Se 6.027 -1.997 1.827
Se 7.188 0.000 5.179
Se 9.832 0.000 2.133
! Formation energy (no corrections)   -1.33 eV/atom

***

! Na3Ti2CuSe6 (GGA-PBE, relaxed); values from VASP
&SYSTEM
  ibrav = 0, nat = 12, ntyp = 4
/
ATOMIC_SPECIES
Na 22.99 Na.upf
Ti 47.87 Ti.upf
Cu 63.55 Cu.upf
Se 78.96 Se.upf
CELL_PARAMETERS angstrom
3.292 -5.733 0.000
3.292 5.733 0.000
-2.195 0.000 6.868
ATOMIC_POSITIONS angstrom
Na 0.000 0.000 0.000
Na 3.292 1.861 0.000
Na 3.292 -1.861 0.000
Ti 2.195 3.797 3.434
Ti 2.195 -3.797 3.434
Cu 2.195 0.000 3.434
Se 1.065 1.964 2.003
Se -0.048 0.000 4.840
Se 1.065 -1.964 2.003
Se 3.324 1.964 4.865
Se 4.437 0.000 2.028
Se 3.324 -1.964 4.865
! Formation energy (no corrections)   -0.96 eV/atom

***

! Na2Ti2CuSe6 (GGA-PBE, relaxed); values from VASP
&SYSTEM
  ibrav = 0, nat = 11, ntyp = 4
/
ATOMIC_SPECIES
Na 22.99 Na.upf
Ti 47.87 Ti.upf
Cu 63.55 Cu.upf
Se 78.96 Se.upf
CELL_PARAMETERS angstrom
3.160 -5.629 0.000
3.160 5.629 0.000
-2.103 0.000 7.154
ATOMIC_POSITIONS angstrom
Na 3.160 3.803 0.000
Na 3.160 -3.803 0.000
Ti 2.109 1.896 3.577
Ti 2.109 -1.896 3.577
Cu -1.052 0.000 3.577
Se 0.032 1.921 5.056
Se 1.041 0.000 2.149
Se 0.032 -1.921 5.056
Se 4.186 1.921 2.098
Se 3.177 0.000 5.005
Se 4.186 -1.921 2.098
! Formation energy (no corrections)   -0.89 eV/atom

***

! Na4Ti3CuSe8 (GGA-PBE, relaxed); values from VASP
&SYSTEM
  ibrav = 0, nat = 16, ntyp = 4
/
ATOMIC_SPECIES
Na 22.99 Na.upf
Ti 47.87 Ti.upf
Cu 63.55 Cu.upf
Se 78.96 Se.upf
CELL_PARAMETERS angstrom
3.781 2.183 6.942
-3.781 2.183 6.942
0.000 -4.366 6.942
ATOMIC_POSITIONS angstrom
Na 0.000 0.000 0.000
Na -1.891 -1.092 6.942
Na -1.891 1.092 13.884
Na 0.000 2.183 6.942
Ti -3.781 0.000 10.413
Ti -1.891 1.092 3.471
Ti 1.891 1.092 3.471
Cu 0.000 0.000 10.413
Se -1.910 -1.103 11.843
Se 0.000 0.000 4.954
Se 0.000 -2.205 8.983
Se -1.910 1.103 8.983
Se 1.910 -1.103 11.843
Se 0.000 2.205 11.843
Se 0.000 0.000 15.871
Se 1.910 1.103 8.983
! Formation energy (no corrections)   -1.01 eV/atom

***

! Na3Ti3CuSe8 (GGA-PBE, relaxed); values from VASP
&SYSTEM
  ibrav = 0, nat = 15, ntyp = 4
/
ATOMIC_SPECIES
Na 22.99 Na.upf
Ti 47.87 Ti.upf
Cu 63.55 Cu.upf
Se 78.96 Se.upf
CELL_PARAMETERS angstrom
6.426 -3.718 0.000
6.426 3.718 0.000
-4.281 0.000 7.067
ATOMIC_POSITIONS angstrom
Na 0.000 0.000 0.000
Na 3.213 1.859 0.000
Na 3.213 -1.859 0.000
Ti 1.072 1.859 3.533
Ti 1.072 -1.859 3.533
Ti 4.286 0.000 3.533
Cu -2.141 0.000 3.533
Se 0.027 0.000 4.975
Se 3.195 1.825 4.980
Se 2.143 0.000 2.029
Se 5.376 1.825 2.086
Se 3.195 -1.825 4.980
Se 6.428 0.000 5.038
Se 5.376 -1.825 2.086
Se 8.544 0.000 2.091
! Formation energy (no corrections)   -0.98 eV/atom

***

! NaTiCu3Se4 (GGA-PBE, relaxed); values from VASP
&SYSTEM
  ibrav = 0, nat = 9, ntyp = 4
/
ATOMIC_SPECIES
Na 22.99 Na.upf
Ti 47.87 Ti.upf
Cu 63.55 Cu.upf
Se 78.96 Se.upf
CELL_PARAMETERS angstrom
5.909 0.000 0.000
0.000 5.909 0.000
0.000 0.000 5.909
ATOMIC_POSITIONS angstrom
Na 0.000 0.000 0.000
Ti 2.955 2.955 2.955
Cu 0.000 2.955 2.955
Cu 2.955 0.000 2.955
Cu 2.955 2.955 0.000
Se 1.574 1.574 4.336
Se 1.574 4.336 1.574
Se 4.336 1.574 1.574
Se 4.336 4.336 4.336
! Formation energy (no corrections)   -0.69 eV/atom

***

Please write out number 8 again, unchanged.
! NaTiCu3Se4 (GGA-PBE, relaxed); values from VASP
&SYSTEM
  ibrav = 0, nat = 9, ntyp = 4
/
ATOMIC_SPECIES
Na 22.99 Na.upf
Ti 47.87 Ti.upf
Cu 63.55 Cu.upf
Se 78.96 Se.upf
CELL_PARAMETERS angstrom
5.909 0.000 0.000
0.000 5.909 0.000
0.000 0.000 5.909
ATOMIC_POSITIONS angstrom
Na 0.000 0.000 0.000
Ti 2.955 2.955 2.955
Cu 0.000 2.955 2.955
Cu 2.955 0.000 2.955
Cu 2.955 2.955 0.000
Se 1.574 1.574 4.336
Se 1.574 4.336 1.574
Se 4.336 1.574 1.574
Se 4.336 4.336 4.336
! Formation energy (no corrections)   -0.69 eV/atom

***

What is the formation energy (no corrections) in the eighth record? -0.69 eV/atom

***

What is the formation energy (no corrections) in the eighth record? -0.69 eV/atom

***

Which of these has the highest formation energy (no corrections)? NaTiCu3Se4